Arrangement P

Entry from Alexandria: a relaxed Gd2PuIn crystal (PBE).

Cell: 5.4208 5.4208 5.4208 Å, 60.00 60.00 60.00°
Each line ends with the local moment (μB).
Atoms (fractional coordinates):
Gd: 0.7500 0.7500 0.7500  6.90
Gd: 0.2500 0.2500 0.2500  6.90
In: 0.5000 0.5000 0.5000  0.04
Pu: 0.0000 0.0000 0.0000  -5.55

Results
Fermi-level density of states   14.54 states/eV per cell



Arrangement Q

Entry from Alexandria: a relaxed Gd2PuIn crystal (PBE).

Cell: 3.5745 3.5745 11.0094 Å, 80.66 80.66 60.00°
Each line ends with the local moment (μB).
Atoms (fractional coordinates):
Gd: 0.2461 0.2461 0.2617  7.23
Gd: 0.7539 0.7539 0.7383  7.23
Pu: 0.0000 0.0000 0.0000  5.66
In: 0.5000 0.5000 0.5000  -0.01

Results
Fermi-level density of states   9.65 states/eV per cell



Which of them is least stable? Easy: arrangement Q.



Arrangement P

Entry from Alexandria: a relaxed GdPu2In crystal (PBE).

Cell: 5.3779 5.3779 5.3779 Å, 60.00 60.00 60.00°
Each line ends with the local moment (μB).
Atoms (fractional coordinates):
Gd: 0.0000 0.0000 0.0000  7.73
In: 0.5000 0.5000 0.5000  -0.08
Pu: 0.2500 0.2500 0.2500  5.69
Pu: 0.7500 0.7500 0.7500  5.69

Results
Fermi-level density of states   12.78 states/eV per cell



Arrangement Q

Entry from Alexandria: a relaxed GdPu2In crystal (PBE).

Cell: 4.1496 4.1496 6.5340 Å, 90.00 90.00 90.00°
Each line ends with the local moment (μB).
Atoms (fractional coordinates):
Pu: 0.0000 0.0000 0.7674  5.64
Pu: 0.0000 0.0000 0.2326  5.64
In: 0.5000 0.5000 0.0000  0.00
Gd: 0.5000 0.5000 0.5000  7.45

Results
Fermi-level density of states   14.89 states/eV per cell



Arrangement R

Entry from Alexandria: a relaxed GdPu2In crystal (PBE).

Cell: 5.0997 4.6079 4.6079 Å, 90.00 90.00 90.00°
Each line ends with the local moment (μB).
Atoms (fractional coordinates):
Pu: 0.0000 0.5000 0.0000  5.60
Pu: 0.0000 0.0000 0.5000  5.60
Gd: 0.5000 0.5000 0.5000  7.25
In: 0.5000 0.0000 0.0000  -0.11

Results
Fermi-level density of states   11.83 states/eV per cell



Which of them is least stable? Easy: arrangement P.



Arrangement P

Entry from Alexandria: a relaxed GdIn2Rh crystal (PBE).

Cell: 5.5193 5.5193 8.0603 Å, 90.00 90.00 133.34°
Each line ends with the local moment (μB).
Atoms (fractional coordinates):
In: 0.6447 0.3553 0.5506  0.00
In: 0.6447 0.3553 0.9494  0.00
In: 0.3553 0.6447 0.0506  0.00
In: 0.3553 0.6447 0.4494  0.00
Rh: 0.7830 0.2170 0.2500  0.00
Rh: 0.2170 0.7830 0.7500  0.00
Gd: 0.9330 0.0670 0.7500  7.00
Gd: 0.0670 0.9330 0.2500  7.00

Results
Fermi-level density of states   3.60 states/eV per cell



Arrangement Q

Entry from Alexandria: a relaxed GdIn2Rh crystal (PBE).

Cell: 3.3832 3.3832 7.5681 Å, 90.00 90.00 90.00°
Each line ends with the local moment (μB).
Atoms (fractional coordinates):
Rh: 0.5000 0.5000 0.0000  -0.03
In: 0.0000 0.0000 0.7983  -0.02
In: 0.0000 0.0000 0.2017  -0.02
Gd: 0.5000 0.5000 0.5000  7.25

Results
Fermi-level density of states   3.10 states/eV per cell



Arrangement R

Entry from Alexandria: a relaxed GdIn2Rh crystal (PBE).

Cell: 4.9249 4.9249 4.9249 Å, 60.00 60.00 60.00°
Each line ends with the local moment (μB).
Atoms (fractional coordinates):
In: 0.2500 0.2500 0.2500  -0.02
In: 0.7500 0.7500 0.7500  -0.02
Gd: 0.5000 0.5000 0.5000  6.94
Rh: 0.0000 0.0000 0.0000  0.01

Results
Fermi-level density of states   1.59 states/eV per cell



Which of them is least stable? Easy: arrangement R.



Arrangement P

Entry from Alexandria: a relaxed GdIn2Ru crystal (PBE).

Cell: 4.9052 4.9052 4.9052 Å, 60.00 60.00 60.00°
Each line ends with the local moment (μB).
Atoms (fractional coordinates):
Gd: 0.5000 0.5000 0.5000  6.98
In: 0.7500 0.7500 0.7500  -0.01
In: 0.2500 0.2500 0.2500  -0.01
Ru: 0.0000 0.0000 0.0000  -0.04

Results
Fermi-level density of states   3.08 states/eV per cell



Arrangement Q

Entry from Alexandria: a relaxed GdIn2Ru crystal (PBE).

Cell: 3.3542 3.3542 7.6352 Å, 90.00 90.00 90.00°
Each line ends with the local moment (μB).
Atoms (fractional coordinates):
In: 0.0000 0.0000 0.7991  -0.02
In: 0.0000 0.0000 0.2009  -0.02
Ru: 0.5000 0.5000 0.0000  0.01
Gd: 0.5000 0.5000 0.5000  7.26

Results
Fermi-level density of states   2.39 states/eV per cell



Which of them is least stable? Easy: arrangement P.



Arrangement P

Entry from Alexandria: a relaxed GdInSb2 crystal (PBE).

Cell: 3.8064 3.8064 10.4694 Å, 79.53 79.53 60.00°
Each line ends with the local moment (μB).
Atoms (fractional coordinates):
Sb: 0.1003 0.1003 0.6990  -0.01
Sb: 0.8997 0.8997 0.3010  -0.01
Gd: 0.0000 0.0000 0.0000  7.15
In: 0.5000 0.5000 0.5000  0.01

Results
Fermi-level density of states   4.74 states/eV per cell



Arrangement Q

Entry from Alexandria: a relaxed GdInSb2 crystal (PBE).

Cell: 4.1235 4.1235 6.5144 Å, 90.00 90.00 90.00°
Each line ends with the local moment (μB).
Atoms (fractional coordinates):
Sb: 0.0000 0.0000 0.7657  -0.03
Sb: 0.0000 0.0000 0.2343  -0.03
Gd: 0.5000 0.5000 0.0000  7.03
In: 0.5000 0.5000 0.5000  0.00

Results
Fermi-level density of states   2.10 states/eV per cell



Which of them is least stable? Easy: arrangement P.



Arrangement P

Entry from Alexandria: a relaxed SmGd2In crystal (PBE).

Cell: 3.6123 3.6123 9.3202 Å, 90.00 90.00 90.00°
Each line ends with the local moment (μB).
Atoms (fractional coordinates):
Sm: 0.5000 0.5000 0.5000  -0.04
In: 0.5000 0.5000 0.0000  -0.02
Gd: 0.0000 0.0000 0.7742  7.13
Gd: 0.0000 0.0000 0.2258  7.13

Results
Fermi-level density of states   4.48 states/eV per cell



Arrangement Q

Entry from Alexandria: a relaxed SmGd2In crystal (PBE).

Cell: 4.9234 4.8853 4.8853 Å, 90.00 90.00 90.00°
Each line ends with the local moment (μB).
Atoms (fractional coordinates):
Sm: 0.5000 0.5000 0.5000  0.18
In: 0.5000 0.0000 0.0000  -0.05
Gd: 0.0000 0.5000 0.0000  7.29
Gd: 0.0000 0.0000 0.5000  7.29

Results
Fermi-level density of states   3.44 states/eV per cell



Arrangement R

Entry from Alexandria: a relaxed SmGd2In crystal (PBE).

Cell: 5.5073 5.5073 5.5073 Å, 60.00 60.00 60.00°
Each line ends with the local moment (μB).
Atoms (fractional coordinates):
In: 0.5000 0.5000 0.5000  -0.01
Gd: 0.2500 0.2500 0.2500  7.31
Gd: 0.7500 0.7500 0.7500  7.31
Sm: 0.0000 0.0000 0.0000  0.36

Results
Fermi-level density of states   5.68 states/eV per cell



Which of them is least stable? Easy: arrangement R.



Arrangement P

Entry from Alexandria: a relaxed SmGdIn2 crystal (PBE).

Cell: 5.3904 5.3904 5.3904 Å, 60.00 60.00 60.00°
Each line ends with the local moment (μB).
Atoms (fractional coordinates):
Gd: 0.5000 0.5000 0.5000  7.07
Sm: 0.0000 0.0000 0.0000  0.02
In: 0.7500 0.7500 0.7500  -0.03
In: 0.2500 0.2500 0.2500  -0.03

Results
Fermi-level density of states   3.22 states/eV per cell



Arrangement Q

Entry from Alexandria: a relaxed SmGdIn2 crystal (PBE).

Cell: 3.7797 3.7797 7.7517 Å, 90.00 90.00 90.00°
Each line ends with the local moment (μB).
Atoms (fractional coordinates):
In: 0.0000 0.0000 0.2526  0.02
In: 0.0000 0.0000 0.7474  0.02
Sm: 0.5000 0.5000 0.0000  0.05
Gd: 0.5000 0.5000 0.5000  -7.14

Results
Fermi-level density of states   2.46 states/eV per cell



Which of them is least stable? Easy: arrangement P.



Arrangement P

Entry from Alexandria: a relaxed SrGdIn2 crystal (PBE).

Cell: 3.8371 3.8371 10.4376 Å, 79.41 79.41 60.00°
Each line ends with the local moment (μB).
Atoms (fractional coordinates):
Gd: 0.0000 0.0000 0.0000  7.13
In: 0.2538 0.2538 0.2385  -0.01
In: 0.7462 0.7462 0.7615  -0.01
Sr: 0.5000 0.5000 0.5000  0.01

Results
Fermi-level density of states   3.28 states/eV per cell



Arrangement Q

Entry from Alexandria: a relaxed SrGdIn2 crystal (PBE).

Cell: 5.5516 5.5516 5.5516 Å, 60.00 60.00 60.00°
Each line ends with the local moment (μB).
Atoms (fractional coordinates):
In: 0.7500 0.7500 0.7500  -0.01
In: 0.2500 0.2500 0.2500  -0.01
Gd: 0.0000 0.0000 0.0000  7.03
Sr: 0.5000 0.5000 0.5000  0.01

Results
Fermi-level density of states   3.96 states/eV per cell



Which of them is least stable? Easy: arrangement P.



Arrangement P

Entry from Alexandria: a relaxed TbGdIn crystal (PBE).

Cell: 3.3238 3.3238 9.3363 Å, 100.25 100.25 90.00°
Each line ends with the local moment (μB).
Atoms (fractional coordinates):
Tb: 0.7720 0.7720 0.5440  0.09
In: 0.9493 0.9493 0.8986  0.02
Gd: 0.1287 0.1287 0.2575  -7.21

Results
Fermi-level density of states   3.20 states/eV per cell



Arrangement Q

Entry from Alexandria: a relaxed TbGdIn crystal (PBE).

Cell: 3.6182 5.2591 5.2591 Å, 120.00 90.00 90.00°
Each line ends with the local moment (μB).
Atoms (fractional coordinates):
Tb: 0.3889 0.3333 0.6667  0.01
Gd: 0.9553 0.0000 0.0000  7.12
In: 0.6559 0.6667 0.3333  -0.02

Results
Fermi-level density of states   3.18 states/eV per cell



Which of them is least stable? Easy: arrangement P.



Arrangement P

Entry from Alexandria: a relaxed GdThIn crystal (PBE).

Cell: 4.0405 4.0405 6.1219 Å, 109.27 109.27 90.00°
Each line ends with the local moment (μB).
Atoms (fractional coordinates):
Gd: 0.2957 0.2957 0.5914  7.15
In: 0.9443 0.9443 0.8885  -0.01
Th: 0.6100 0.6100 0.2201  0.06

Results
Fermi-level density of states   3.58 states/eV per cell



Arrangement Q

Entry from Alexandria: a relaxed GdThIn crystal (PBE).

Cell: 3.5102 5.4147 5.4147 Å, 120.00 90.00 90.00°
Each line ends with the local moment (μB).
Atoms (fractional coordinates):
Gd: 0.4000 0.3333 0.6667  7.27
Th: 0.9653 0.0000 0.0000  0.21
In: 0.6347 0.6667 0.3333  -0.02

Results
Fermi-level density of states   3.88 states/eV per cell



Which of them is least stable? Easy: arrangement Q.



Arrangement P

Entry from Alexandria: a relaxed GdTiIn2 crystal (PBE).

Cell: 5.1044 5.1044 5.1044 Å, 60.00 60.00 60.00°
Each line ends with the local moment (μB).
Atoms (fractional coordinates):
In: 0.7500 0.7500 0.7500  0.01
In: 0.2500 0.2500 0.2500  0.01
Ti: 0.5000 0.5000 0.5000  -1.10
Gd: 0.0000 0.0000 0.0000  6.93

Results
Fermi-level density of states   5.65 states/eV per cell



Arrangement Q

Entry from Alexandria: a relaxed GdTiIn2 crystal (PBE).

Cell: 3.2332 3.2332 8.7300 Å, 90.00 90.00 90.00°
Each line ends with the local moment (μB).
Atoms (fractional coordinates):
In: 0.0000 0.0000 0.2247  -0.01
In: 0.0000 0.0000 0.7753  -0.01
Gd: 0.5000 0.5000 0.5000  7.26
Ti: 0.5000 0.5000 0.0000  -0.34

Results
Fermi-level density of states   4.34 states/eV per cell



Which of them is least stable? Easy: arrangement P.



Arrangement P

Entry from Alexandria: a relaxed GdTiIn2 crystal (PBE).

Cell: 3.3647 3.3647 10.1052 Å, 80.42 80.42 60.00°
Each line ends with the local moment (μB).
Atoms (fractional coordinates):
Gd: 0.5000 0.5000 0.5000  7.35
In: 0.7429 0.7429 0.7713  -0.01
In: 0.2571 0.2571 0.2287  -0.01
Ti: 0.0000 0.0000 0.0000  -0.77

Results
Fermi-level density of states   3.41 states/eV per cell



Arrangement Q

Entry from Alexandria: a relaxed GdTiIn2 crystal (PBE).

Cell: 4.5642 4.5221 4.5221 Å, 90.00 90.00 90.00°
Each line ends with the local moment (μB).
Atoms (fractional coordinates):
Gd: 0.5000 0.0000 0.0000  7.23
Ti: 0.5000 0.5000 0.5000  1.08
In: 0.0000 0.5000 0.0000  -0.02
In: 0.0000 0.0000 0.5000  -0.02

Results
Fermi-level density of states   2.60 states/eV per cell



Which of them is least stable? Easy: arrangement P.